Record 1
Computed, not measured: an optimized crystal structure of Al6Ga2Co at the PBE level of DFT.

abc: 3.4776 6.9157 6.9152
angles: 120.00 90.00 90.00
Last column: nearest neighbours and their distance in Å.
Positions (direct):
Al 0.0000 0.7516 0.7517  2 Co 2.44, 2 Ga 2.65
Ga 0.0000 0.3333 0.6666  9 Al 2.65-2.81
Al 0.0000 0.9999 0.2483  2 Co 2.44, 2 Ga 2.65
Al 0.0000 0.2486 0.0000  2 Co 2.44, 2 Ga 2.65
Al 0.5000 0.6357 0.0000  1 Co 2.52, 4 Ga 2.81
Al 0.5000 0.3643 0.3643  1 Co 2.52, 4 Ga 2.81
Co 0.5000 0.0001 0.0000  9 Al 2.44-2.52
Al 0.5000 0.0000 0.6357  1 Co 2.52, 4 Ga 2.81
Ga 0.0000 0.6667 0.3334  9 Al 2.65-2.81

Values from the calculation:
Mass density = 4154 kg/m3
Energy above the most stable polymorph in this dataset = 0 meV per atom
Energy relative to the elements = -143 kJ/mol of formula units
Symmetry = P-62m

=====

Record 2
Computed, not measured: an optimized crystal structure of Al3GaCo at the PBE level of DFT.

abc: 9.2749 9.2749 9.2749
angles: 155.30 84.12 101.18
Last column: nearest neighbours and their distance in Å.
Positions (direct):
Al 0.5134 0.6670 0.8464  1 Co 2.41, 1 Al 2.65
Ga 0.3480 0.8404 0.5076  8 Al 2.68-2.90, 2 Ga 2.91
Ga 0.6520 0.1596 0.4924  8 Al 2.68-2.90, 2 Ga 2.91
Al 0.1929 0.3342 0.8587  4 Co 2.42-2.49
Al 0.9755 0.3342 0.6413  4 Co 2.42-2.49
Al 0.0245 0.6658 0.3587  4 Co 2.42-2.49
Al 0.3545 0.0025 0.3520  3 Co 2.43-2.48, 1 Ga 2.68
Co 0.2462 0.4962 0.7500  8 Al 2.41-2.43
Co 0.7538 0.5038 0.2500  8 Al 2.41-2.43
Al 0.8071 0.6658 0.1413  4 Co 2.42-2.49
Co 0.0794 0.8294 0.2500  8 Al 2.44-2.49, 2 Co 2.73
Al 0.4866 0.3330 0.1536  1 Co 2.41, 1 Al 2.65
Al 0.6794 0.3330 0.3464  1 Co 2.41, 1 Al 2.65
Ga 0.8329 0.8404 0.9924  8 Al 2.68-2.90, 2 Ga 2.91
Al 0.1506 0.0025 0.1480  3 Co 2.43-2.48, 1 Ga 2.68
Co 0.9206 0.1706 0.7500  8 Al 2.44-2.49, 2 Co 2.73
Al 0.8494 0.9975 0.8520  3 Co 2.43-2.48, 1 Ga 2.68
Al 0.6455 0.9975 0.6480  3 Co 2.43-2.48, 1 Ga 2.68
Ga 0.1671 0.1596 0.0076  8 Al 2.68-2.90, 2 Ga 2.91
Al 0.3206 0.6670 0.6536  1 Co 2.41, 1 Al 2.65

Values from the calculation:
Mass density = 4327 kg/m3
Energy above the most stable polymorph in this dataset = 0 meV per atom
Energy relative to the elements = -86 kJ/mol of formula units
Symmetry = Imma

=====

Record 3
Computed, not measured: an optimized crystal structure of AlGa3Co at the PBE level of DFT.

abc: 5.8694 5.8694 6.3065
angles: 105.67 119.03 100.86
Last column: nearest neighbours and their distance in Å.
Positions (direct):
Ga 0.1442 0.0052 0.7602  2 Co 2.40-2.47
Al 0.6923 0.0661 0.7584  2 Co 2.37-2.42, 1 Ga 2.63
Ga 0.8558 0.9948 0.2398  2 Co 2.40-2.47
Ga 0.7550 0.6160 0.7602  2 Co 2.40-2.47
Ga 0.2837 0.5796 0.8633  1 Co 2.38, 1 Al 2.63
Ga 0.7163 0.4204 0.1367  1 Co 2.38, 1 Al 2.63
Co 0.6452 0.7449 0.3901  2 Al 2.37-2.42, 5 Ga 2.38-2.47
Al 0.3077 0.9339 0.2416  2 Co 2.37-2.42, 1 Ga 2.63
Co 0.3548 0.2551 0.6099  2 Al 2.37-2.42, 5 Ga 2.38-2.47
Ga 0.2450 0.3840 0.2398  2 Co 2.40-2.47

Values from the calculation:
Mass density = 5791 kg/m3
Energy above the most stable polymorph in this dataset = 0 meV per atom
Energy relative to the elements = -45 kJ/mol of formula units
Symmetry = C2/m